# SrNiSbTe2

A relaxed structure of SrNiSbTe2 (PBE, Alexandria via LeMat-Bulk).

As for the formation energy (no corrections): 5.1 eV/f.u.

```
SrNiSbTe2
1.0
6.057 0.000 0.000
0.000 6.057 0.000
0.000 0.000 6.056
Sb Te Ni Sr
1 2 1 1
direct
0.000 0.000 0.500
0.000 0.500 0.000
0.500 0.000 0.000
0.500 0.500 0.500
0.000 0.000 0.000
```

---

# Hf4SnOs

A relaxed structure of Hf4SnOs (PBE, Alexandria via LeMat-Bulk).

The formation energy is -0.1 eV/f.u.

```
Hf4SnOs
1.0
5.770 0.000 0.182
0.000 6.821 0.000
0.017 0.000 7.493
Hf Sn Os
8 2 2
direct
0.801 0.696 0.257
0.699 0.196 0.743
0.418 0.351 0.364
0.082 0.851 0.636
0.199 0.304 0.743
0.301 0.804 0.257
0.582 0.649 0.636
0.918 0.149 0.364
0.000 0.000 0.000
0.500 0.500 0.000
0.500 0.000 0.500
0.000 0.500 0.500
```

---

# Nd2Dy4Er2Tm

A relaxed structure of Nd2Dy4Er2Tm (PBE, Alexandria via LeMat-Bulk).

The formation energy is 0.2 eV/f.u.

```
Nd2Dy4Er2Tm
1.0
7.499 2.307 1.280
1.914 8.910 2.368
-3.663 -3.657 3.341
Nd Dy Er Tm
2 4 2 1
direct
0.333 0.668 0.669
0.667 0.332 0.331
0.778 0.889 0.221
0.556 0.780 0.446
0.222 0.111 0.779
0.444 0.220 0.554
0.891 0.444 0.112
0.109 0.556 0.888
0.000 0.000 0.000
```

---

# Hf2Zn2Ir

A relaxed structure of Hf2Zn2Ir (PBE, Alexandria via LeMat-Bulk).

The formation energy is -1.7 eV/f.u.

```
Hf2Zn2Ir
1.0
3.018 0.000 0.000
0.000 3.264 0.618
0.000 -0.049 9.183
Hf Zn Ir
2 2 1
direct
0.500 0.405 0.191
0.500 0.595 0.809
0.000 0.198 0.605
0.000 0.802 0.395
0.000 0.000 0.000
```

---

Copy entry 3 word for word.
# Nd2Dy4Er2Tm

A relaxed structure of Nd2Dy4Er2Tm (PBE, Alexandria via LeMat-Bulk).

The formation energy is 0.2 eV/f.u.

```
Nd2Dy4Er2Tm
1.0
7.499 2.307 1.280
1.914 8.910 2.368
-3.663 -3.657 3.341
Nd Dy Er Tm
2 4 2 1
direct
0.333 0.668 0.669
0.667 0.332 0.331
0.778 0.889 0.221
0.556 0.780 0.446
0.222 0.111 0.779
0.444 0.220 0.554
0.891 0.444 0.112
0.109 0.556 0.888
0.000 0.000 0.000
```